Entry 1:
Compound: Ca2FePdS
Source: Alexandria via LeMat-Bulk
Functional: GGA-PBE
Structure: optimized geometry

Results
**D(E_F)**: 4.46 states/eV/f.u.
**E**: -4.81 eV per atom

Lattice parameters (Å, degrees): 5.3297 4.1480 5.3297 90.00 90.00 90.00
Each line ends with the local moment (μB).
Fractional positions:
Fe  0.0000  0.5000  0.0000  2.16
Pd  0.5000  0.5000  0.5000  0.08
Ca  0.5000  0.0000  0.0000  -0.01
S  0.0000  0.0000  0.0000  0.03
Ca  0.0000  0.0000  0.5000  -0.04


Entry 2:
Compound: InRh3
Source: Alexandria via LeMat-Bulk
Functional: GGA-PBE
Structure: optimized geometry

Results
**D(E_F)**: 5.50 states/eV/f.u.
**DFT formation energy**: -90 meV/atom

Lattice parameters (Å, degrees): 2.8802 3.8216 5.6779 90.00 90.00 90.00
Fractional positions:
In  0.0000  0.0000  0.0000
Rh  0.5000  0.5000  0.2644
Rh  0.0000  0.0000  0.5000
Rh  0.5000  0.5000  0.7356


Entry 3:
Compound: DyPuTa
Source: Alexandria via LeMat-Bulk
Functional: GGA-PBE
Structure: optimized geometry

Results
**D(E_F)**: 7.50 states/eV/f.u.
**DFT formation energy**: 331 meV/atom

Lattice parameters (Å, degrees): 3.3083 3.3083 15.6905 83.95 83.95 60.00
Each line ends with the local moment (μB).
Fractional positions:
Ta  0.1885  0.1885  0.4345  -0.19
Pu  0.0935  0.0935  0.7195  5.16
Pu  0.9065  0.9065  0.2805  5.16
Ta  0.8115  0.8115  0.5655  -0.19
Dy  0.3648  0.3648  0.9057  -0.09
Dy  0.6352  0.6352  0.0943  -0.09


Entry 4:
Compound: SmZn5CuNi2
Source: Alexandria via LeMat-Bulk
Functional: GGA-PBE
Structure: optimized geometry

Results
**D(E_F)**: 4.66 states/eV/f.u.
**DFT formation energy**: -71 meV/atom

Lattice parameters (Å, degrees): 4.6114 4.6114 6.9791 90.00 90.00 90.00
Fractional positions:
Zn  0.0000  0.5000  0.8047
Ni  0.5000  0.5000  0.1668
Ni  0.5000  0.5000  0.8332
Zn  0.0000  0.5000  0.1953
Zn  0.5000  0.0000  0.8047
Cu  0.0000  0.0000  0.0000
Zn  0.5000  0.5000  0.5000
Sm  0.0000  0.0000  0.5000
Zn  0.5000  0.0000  0.1953


Entry 5:
Compound: VCrCuRe
Source: Alexandria via LeMat-Bulk
Functional: GGA-PBE
Structure: optimized geometry

Results
**D(E_F)**: 5.10 states/eV/f.u.
**DFT formation energy**: 137 meV/atom

Lattice parameters (Å, degrees): 4.2152 4.2152 4.2152 60.00 60.00 60.00
Each line ends with the local moment (μB).
Fractional positions:
Cr  0.0000  0.0000  0.0000  1.26
Re  0.7500  0.7500  0.7500  -0.25
V  0.5000  0.5000  0.5000  0.25
Cu  0.2500  0.2500  0.2500  0.03


Entry 6:
Compound: Y2TlCo
Source: Alexandria via LeMat-Bulk
Functional: GGA-PBE
Structure: optimized geometry

Results
**D(E_F)**: 3.03 states/eV/f.u.
**DFT formation energy**: 94 meV/atom

Lattice parameters (Å, degrees): 7.8101 7.8101 6.4263 52.58 52.58 90.00
Fractional positions:
Y  0.5649  0.1250  0.2500
Tl  0.7500  0.2500  0.5000
Y  0.3750  0.4351  0.7500
Tl  0.0000  0.0000  0.0000
Co  0.5000  0.5000  0.0000
Y  0.1851  0.6250  0.2500
Y  0.8750  0.8149  0.7500
Co  0.2500  0.7500  0.5000


Entry 7:
Compound: KBaCo2
Source: Alexandria via LeMat-Bulk
Functional: GGA-PBE
Structure: optimized geometry

Results
**D(E_F)**: 7.96 states/eV/f.u.
**DFT formation energy**: 1105 meV/atom
**Energy relative to the lowest polymorph listed for this composition**: 696 meV per atom

Lattice parameters (Å, degrees): 5.5179 5.5144 3.8459 90.00 90.00 90.00
Each line ends with the local moment (μB).
Fractional positions:
Co  0.5000  0.5000  0.0000  1.86
K  0.5000  0.0000  0.5000  -0.01
Co  0.0000  0.0000  0.0000  1.85
Ba  0.0000  0.5000  0.5000  -0.14


Entry 8:
Compound: Er2In3Rh2
Source: Alexandria via LeMat-Bulk
Functional: GGA-PBE
Structure: optimized geometry

Results
**D(E_F)**: 3.90 states/eV/f.u.
**DFT formation energy**: -487 meV/atom

Lattice parameters (Å, degrees): 3.5885 3.8433 12.7276 90.00 90.13 90.00
Fractional positions:
In  0.0000  0.0000  0.0000
Er  0.4987  0.5000  0.8425
Rh  0.9984  0.0000  0.7727
In  0.4963  0.0000  0.6118
Rh  0.0016  0.0000  0.2273
Er  0.5013  0.5000  0.1575
In  0.5037  0.0000  0.3882


Entry 9:
Compound: La3CrN4
Source: Alexandria via LeMat-Bulk
Functional: GGA-PBE
Structure: optimized geometry

Results
**D(E_F)**: 5.38 states/eV/f.u.
**E**: -8.22 eV per atom

Lattice parameters (Å, degrees): 7.2676 7.3447 9.6423 90.00 90.00 90.00
Fractional positions:
N  0.6588  0.5734  0.5987
La  0.4377  0.7687  0.0574
Cr  0.7785  0.4912  0.7500
La  0.0623  0.2687  0.5574
La  0.0623  0.2687  0.9426
La  0.5623  0.2313  0.5574
La  0.6537  0.4006  0.2500
N  0.8412  0.0734  0.4013
N  0.5109  0.9401  0.7500
La  0.3463  0.5994  0.7500
La  0.8463  0.9006  0.7500
N  0.3412  0.4266  0.0987
La  0.9377  0.7313  0.0574
La  0.5623  0.2313  0.9426
N  0.6892  0.7350  0.2500
N  0.3412  0.4266  0.4013
N  0.8108  0.2350  0.7500
N  0.3108  0.2650  0.7500
N  0.1588  0.9266  0.9013
N  0.4891  0.0599  0.2500
Cr  0.7215  0.9912  0.2500
La  0.1537  0.0994  0.2500
La  0.4377  0.7687  0.4426
N  0.1588  0.9266  0.5987
N  0.0109  0.5599  0.7500
Cr  0.2215  0.5088  0.2500
N  0.8412  0.0734  0.0987
La  0.9377  0.7313  0.4426
N  0.6588  0.5734  0.9013
Cr  0.2785  0.0088  0.7500
N  0.1892  0.7650  0.2500
N  0.9891  0.4401  0.2500


Entry 10:
Compound: Mn2TlAs
Source: Alexandria via LeMat-Bulk
Functional: GGA-PBE
Structure: optimized geometry

Results
**D(E_F)**: 3.02 states/eV/f.u.
**DFT formation energy**: 397 meV/atom
**Energy relative to the lowest polymorph listed for this composition**: 198 meV per atom

Lattice parameters (Å, degrees): 4.6868 4.6868 3.3445 84.38 84.38 99.63
Each line ends with the local moment (μB).
Fractional positions:
Tl  0.5000  0.0000  0.5000  -0.10
As  0.0000  0.5000  0.5000  -0.12
Mn  0.5000  0.5000  0.0000  3.43
Mn  0.0000  0.0000  0.0000  3.43


Entry 11:
Compound: ZnSbPb2
Source: Alexandria via LeMat-Bulk
Functional: GGA-PBE
Structure: optimized geometry

Results
**D(E_F)**: 1.96 states/eV/f.u.
**Energy relative to the lowest polymorph listed for this composition**: 32 meV per atom

Lattice parameters (Å, degrees): 5.7718 5.7718 5.7718 134.43 123.71 75.22
Fractional positions:
Pb  0.0198  0.0198  0.0000
Sb  0.7500  0.2500  0.5000
Pb  0.4802  0.4802  0.0000
Zn  0.2500  0.7500  0.5000


Entry 12:
Compound: BaPmIr
Source: Alexandria via LeMat-Bulk
Functional: GGA-PBE
Structure: optimized geometry

Results
**D(E_F)**: 1.67 states/eV/f.u.
**DFT formation energy**: -197 meV/atom
**Energy relative to the lowest polymorph listed for this composition**: 203 meV per atom

Lattice parameters (Å, degrees): 5.1182 5.1182 5.1182 60.00 60.00 60.00
Fractional positions:
Pm  0.5000  0.5000  0.5000
Ba  0.0000  0.0000  0.0000
Ir  0.2500  0.2500  0.2500


Entry 13:
Compound: K3Rb
Source: Alexandria via LeMat-Bulk
Functional: GGA-PBE
Structure: optimized geometry

Results
**D(E_F)**: 4.18 states/eV/f.u.
**DFT formation energy**: 7 meV/atom

Lattice parameters (Å, degrees): 7.5558 7.5558 7.5558 60.00 60.00 60.00
Fractional positions:
K  0.2500  0.2500  0.2500
K  0.5000  0.5000  0.5000
K  0.0000  0.0000  0.0000
Rb  0.7500  0.7500  0.7500


Entry 14:
Compound: CoMoRu2
Source: Alexandria via LeMat-Bulk
Functional: GGA-PBE
Structure: optimized geometry

Results
**D(E_F)**: 4.48 states/eV/f.u.
**DFT formation energy**: 65 meV/atom
**Energy relative to the lowest polymorph listed for this composition**: 60 meV per atom

Lattice parameters (Å, degrees): 4.5903 4.5903 4.5903 130.69 130.69 72.30
Fractional positions:
Mo  0.7500  0.2500  0.5000
Ru  0.5000  0.5000  0.0000
Co  0.2500  0.7500  0.5000
Ru  0.0000  0.0000  0.0000


Entry 15:
Compound: Cd3P
Source: Alexandria via LeMat-Bulk
Functional: GGA-PBE
Structure: optimized geometry

Results
**D(E_F)**: 1.20 states/eV/f.u.
**DFT formation energy**: 116 meV/atom
**Energy relative to the lowest polymorph listed for this composition**: 26 meV per atom

Lattice parameters (Å, degrees): 6.9141 6.9141 6.9141 34.56 34.56 34.56
Fractional positions:
Cd  0.7333  0.7333  0.7333
Cd  0.2667  0.2667  0.2667
Cd  0.5000  0.5000  0.5000
P  0.0000  0.0000  0.0000


Entry 16:
Compound: Nd2Y3Cd4
Source: Alexandria via LeMat-Bulk
Functional: GGA-PBE
Structure: optimized geometry

Results
**D(E_F)**: 8.48 states/eV/f.u.
**DFT formation energy**: -181 meV/atom

Lattice parameters (Å, degrees): 6.8918 8.2142 9.9151 90.00 110.34 90.00
Fractional positions:
Nd  0.9077  0.4016  0.8154
Y  0.0000  0.0000  0.0000
Nd  0.0923  0.5984  0.1846
Y  0.0039  0.7500  0.5079
Cd  0.1625  0.9863  0.3249
Cd  0.8375  0.0137  0.6751
Cd  0.8250  0.2500  0.1501
Cd  0.1750  0.7500  0.8499
Y  0.4961  0.2500  0.4921
Cd  0.3250  0.2500  0.1501
Cd  0.6750  0.7500  0.8499
Y  0.5000  0.5000  0.0000
Cd  0.6625  0.5137  0.3249
Y  0.9961  0.2500  0.4921
Cd  0.3375  0.4863  0.6751
Y  0.5039  0.7500  0.5079
Nd  0.4077  0.0984  0.8154
Nd  0.5923  0.9016  0.1846


Entry 17:
Compound: LiMgSe4
Source: Alexandria via LeMat-Bulk
Functional: GGA-PBE
Structure: optimized geometry

Results
**D(E_F)**: 2.24 states/eV/f.u.
**E**: -2.85 eV per atom

Lattice parameters (Å, degrees): 5.7992 5.7992 5.7992 60.00 60.00 60.00
Fractional positions:
Se  0.8766  0.3745  0.3745
Se  0.3745  0.8766  0.3745
Se  0.3745  0.3745  0.8766
Se  0.3745  0.3745  0.3745
Li  0.7500  0.7500  0.7500
Mg  0.0000  0.0000  0.0000


Entry 18:
Compound: ErAlAgPt
Source: Alexandria via LeMat-Bulk
Functional: GGA-PBE
Structure: optimized geometry

Results
**D(E_F)**: 2.18 states/eV/f.u.
**DFT formation energy**: -707 meV/atom

Lattice parameters (Å, degrees): 4.7264 4.7264 4.7264 60.00 60.00 60.00
Fractional positions:
Er  0.0000  0.0000  0.0000
Pt  0.2500  0.2500  0.2500
Al  0.5000  0.5000  0.5000
Ag  0.7500  0.7500  0.7500


Entry 19:
Compound: ErSi3OsRu
Source: Alexandria via LeMat-Bulk
Functional: GGA-PBE
Structure: optimized geometry

Results
**D(E_F)**: 1.96 states/eV/f.u.
**E**: -7.23 eV per atom

Lattice parameters (Å, degrees): 5.3218 7.5938 6.9484 123.12 90.00 90.00
Fractional positions:
Er  0.2500  0.7018  0.4035
Ru  0.2500  0.0597  0.1193
Er  0.7500  0.2982  0.5965
Si  0.5000  0.7513  0.0000
Si  0.7500  0.7553  0.5107
Si  0.0000  0.2487  0.0000
Si  0.0000  0.7513  0.0000
Os  0.7500  0.5651  0.1302
Os  0.2500  0.4349  0.8698
Si  0.2500  0.2447  0.4893
Si  0.5000  0.2487  0.0000
Ru  0.7500  0.9403  0.8807


Entry 20:
Compound: Li2TbSm2Bi2
Source: Alexandria via LeMat-Bulk
Functional: GGA-PBE
Structure: optimized geometry

Results
**D(E_F)**: 5.07 states/eV/f.u.
**DFT formation energy**: -416 meV/atom

Lattice parameters (Å, degrees): 4.9130 4.9130 9.4070 74.86 74.86 60.00
Fractional positions:
Sm  0.8702  0.8702  0.3893
Bi  0.7329  0.7329  0.8013
Bi  0.2671  0.2671  0.1987
Sm  0.1298  0.1298  0.6107
Li  0.5944  0.5944  0.2167
Li  0.4056  0.4056  0.7833
Tb  0.0000  0.0000  0.0000


Entry 21:
Compound: Pr4SnSb2
Source: Alexandria via LeMat-Bulk
Functional: GGA-PBE
Structure: optimized geometry

Results
**D(E_F)**: 7.15 states/eV/f.u.
**Energy relative to the lowest polymorph listed for this composition**: 162 meV per atom

Lattice parameters (Å, degrees): 8.6600 8.6601 8.6548 108.90 108.90 110.65
Fractional positions:
Sn  0.2500  0.7500  0.5000
Pr  0.3161  0.1288  0.8122
Pr  0.3166  0.5039  0.1877
Sb  0.6250  0.8750  0.2500
Sb  0.6250  0.3750  0.7500
Pr  0.8712  0.6838  0.1878
Pr  0.7539  0.0666  0.6877
Sn  0.0000  0.0001  0.0000
Pr  0.9335  0.2461  0.3123
Sb  0.1250  0.3750  0.7500
Pr  0.9338  0.6212  0.6878
Pr  0.4961  0.6834  0.8123
Pr  0.3788  0.0661  0.3122
Sb  0.6250  0.3750  0.2500


Entry 22:
Compound: ZrBr3
Source: Alexandria via LeMat-Bulk
Functional: GGA-PBE
Structure: optimized geometry

Results
**D(E_F)**: 1.77 states/eV/f.u.
**E**: -4.45 eV per atom

Lattice parameters (Å, degrees): 8.0139 8.0139 8.0139 155.63 142.34 45.37
Each line ends with the local moment (μB).
Fractional positions:
Zr  0.2500  0.7500  0.5000  0.19
Br  0.1043  0.1043  0.0000  -0.01
Br  0.7500  0.2500  0.5000  -0.01
Br  0.3957  0.3957  0.0000  -0.01


Entry 23:
Compound: LiH3Pd
Source: Alexandria via LeMat-Bulk
Functional: GGA-PBE
Structure: optimized geometry

Results
**D(E_F)**: 0.72 states/eV/f.u.
**E**: -3.65 eV per atom

Lattice parameters (Å, degrees): 3.1366 3.1366 9.7517 90.00 90.00 120.00
Fractional positions:
H  0.0000  0.0000  0.2500
Li  0.0000  0.0000  0.0000
H  0.3333  0.6667  0.9203
H  0.0000  0.0000  0.7500
Pd  0.6667  0.3333  0.2500
H  0.3333  0.6667  0.5797
H  0.6667  0.3333  0.4203
Li  0.0000  0.0000  0.5000
Pd  0.3333  0.6667  0.7500
H  0.6667  0.3333  0.0797


Entry 24:
Compound: K2LaAu2
Source: Alexandria via LeMat-Bulk
Functional: GGA-PBE
Structure: optimized geometry

Results
**D(E_F)**: 5.71 states/eV/f.u.
**DFT formation energy**: -239 meV/atom
**Energy relative to the lowest polymorph listed for this composition**: 0 meV per atom

Lattice parameters (Å, degrees): 7.8281 7.8281 5.5037 90.00 90.00 90.00
Fractional positions:
Au  0.1281  0.3719  0.0000
K  0.1630  0.6630  0.5000
K  0.8370  0.3370  0.5000
La  0.5000  0.5000  0.0000
Au  0.6281  0.1281  0.0000
Au  0.3719  0.8719  0.0000
K  0.3370  0.1630  0.5000
La  0.0000  0.0000  0.0000
K  0.6630  0.8370  0.5000
Au  0.8719  0.6281  0.0000


Entry 25:
Compound: Rb2CdBF
Source: Alexandria via LeMat-Bulk
Functional: GGA-PBE
Structure: optimized geometry

Results
**D(E_F)**: 1.93 states/eV/f.u.
**E**: -2.42 eV per atom

Lattice parameters (Å, degrees): 6.6138 6.6138 4.2112 90.00 90.00 90.00
Fractional positions:
F  0.5000  0.5000  0.5000
Rb  0.0000  0.5000  0.0000
Cd  0.0000  0.0000  0.0000
Rb  0.5000  0.0000  0.0000
B  0.0000  0.0000  0.5000